# AsSeN2Cl | the Alexandria database | PBE | relaxed
# - energy relative to the lowest polymorph listed for this composition (eV per atom) = 0.9287
# - ΔE_f (raw) (eV per atom) = 2.219
data_AsSeN2Cl
_space_group_name_H-M_alt 'P 4/m m m'
_space_group_IT_number 123
_space_group_name_Hall '-P 4 2'
_cell_length_a 3.9953
_cell_length_b 3.9953
_cell_length_c 4.9129
_cell_angle_alpha 90.00
_cell_angle_beta 90.00
_cell_angle_gamma 90.00
loop_
_atom_site_label
_atom_site_type_symbol
_atom_site_fract_x
_atom_site_fract_y
_atom_site_fract_z
As1 As 0.0000 0.0000 0.0000
Se1 Se 0.5000 0.5000 0.0000
N1 N 0.0000 0.5000 0.5000
Cl1 Cl 0.5000 0.5000 0.5000